Computed, not measured: CrGaAgHg2 after structural relaxation at the PBEsol level of DFT.

Computed properties:
Total magnetization ... 0.9994 μB/atom
Space group ... No. 123
Calculated formation energy ... 0.82 eV per atom
DOS at the Fermi energy ... 2.292 states/eV per cell

Cell lengths 4.7642, 5.1882, 5.1882 Å; angles 90.00, 90.00, 90.00 degrees
Fractional positions:
Cr 0.5000 0.5000 0.5000
Ga 0.5000 0.0000 0.0000
Hg 0.0000 0.0000 0.5000
Hg 0.0000 0.5000 0.0000
Ag 0.0000 0.0000 0.0000